# 1
Nd5Ge2Pb2 | PBE | optimized geometry

Cell and atoms, written as extended XYZ:
```
18
Lattice="-0.4835 -0.3198 8.1914 2.9608 -7.6667 -0.1245 5.9434 6.6915 0.6121" Properties=species:S:1:pos:R:3 pbc="T T T"
Nd 0.0000 0.0000 0.0000
Nd 1.2386 -3.9933 4.0334
Nd 3.4958 -4.7028 6.8425
Nd 2.7815 -1.8207 1.5057
Nd 4.1861 -5.7042 2.7280
Nd 2.0913 -0.8193 5.6203
Nd 4.9248 3.4077 1.8364
Nd 5.6392 0.5257 7.1732
Nd 4.2346 4.4092 5.9509
Nd 6.3294 -0.4758 3.0586
Ge 2.2795 -6.8915 5.0451
Ge 0.1978 -1.0950 3.0217
Ge 1.7950 -4.8511 0.9800
Ge 0.6822 -3.1354 7.0868
Pb 3.1481 1.2120 0.2332
Pb 4.3867 -2.7813 4.2666
Pb 5.7561 -2.1872 0.2544
Pb 4.0340 1.4862 4.4123
```

Calculated values
ΔE_f, eV/atom: -0.69
Energy, eV/atom: -5.19
Density, g/cm³: 7.9


# 2
AgRh2 | PBE | optimized geometry

Cell and atoms, written as extended XYZ:
```
3
Lattice="0.0000 3.0275 3.0275 3.0275 0.0000 3.0275 3.0275 3.0275 0.0000" Properties=species:S:1:pos:R:3 pbc="T T T"
Ag 0.0000 0.0000 0.0000
Rh 1.5137 1.5137 1.5137
Rh 4.5412 4.5412 4.5412
```

Calculated values
ΔE_f, eV/atom: 1.04
Energy, eV/atom: -4.82
Density, g/cm³: 9.4
ΔE to the lowest computed polymorph, kJ per mole of atoms: 84.5